1.
The following is a DFT calculation (PBE) of a relaxed Hf2ScCr crystal.

It has space group I-42d (No. 122), with a = 7.540 Å, b = 7.540 Å, c = 5.795 Å, α = 90.00°, β = 90.00° and γ = 90.00°. The asymmetric unit holds Hf at (0.203, 0.250, 0.125), Sc at (0.000, 0.000, 0.500) and Cr at (0.000, 0.000, 0.000).

The calculation puts the total energy at -134.01 eV/cell. For the energy above the most stable polymorph in this dataset, the calculation gives 0.451 eV per atom. Its formation energy is 0.59 eV/atom. As for the density of states at the Fermi level: 18.6 states/eV per cell.



2.
The following is a DFT calculation (PBE) of a relaxed Li4In5Ag2 crystal.

It has space group C2/m (No. 12), with a = 19.593 Å, b = 3.206 Å, c = 8.157 Å, α = 90.00°, β = 114.50° and γ = 90.00°. The asymmetric unit holds Li at (0.000, 0.000, 0.192), Li at (0.115, 0.500, 0.115), In at (0.000, 0.500, 0.500), In at (0.152, 0.000, 0.853), In at (0.153, 0.000, 0.452) and Ag at (0.243, 0.000, 0.243).

The calculation puts the total energy at -56.61 eV/cell. For the energy above the most stable polymorph in this dataset, the calculation gives 0.079 eV per atom. Its formation energy is -0.11 eV/atom. As for the density of states at the Fermi level: 7.9 states/eV per cell.



3.
The following is a DFT calculation (PBE) of a relaxed Mg2TlFe crystal.

It has space group I4/mmm (No. 139), with a = 4.208 Å, b = 4.208 Å, c = 8.673 Å, α = 90.00°, β = 90.00° and γ = 90.00°. The asymmetric unit holds Mg at (0.000, 0.500, 0.250), Tl at (0.000, 0.000, 0.000) and Fe at (0.000, 0.000, 0.500).

The calculation puts the total energy at -25.79 eV/cell. For the energy above the most stable polymorph in this dataset, the calculation gives 0.097 eV per atom. Its formation energy is 0.28 eV/atom. As for the density of states at the Fermi level: 11.9 states/eV per cell.